# 1
# PBE Mn6OsRu, optimized geometry
# E_form   4.0 meV/atom
# M_tot   0.2894 μB per atom
# Density of states at the Fermi level   8.8 states/eV/f.u.
data_Mn6OsRu
_symmetry_space_group_name_H-M 'C m m m'
_symmetry_Int_Tables_number 65
_symmetry_space_group_name_Hall '-C 2 2'
_cell_length_a 7.246
_cell_length_b 7.383
_cell_length_c 3.694
_cell_angle_alpha 90.00
_cell_angle_beta 90.00
_cell_angle_gamma 90.00
loop_
_atom_site_label
_atom_site_type_symbol
_atom_site_fract_x
_atom_site_fract_y
_atom_site_fract_z
Mn1 Mn 0.000 0.249 0.000
Mn2 Mn 0.250 0.000 0.000
Mn3 Mn 0.250 0.250 0.500
Os1 Os 0.000 0.500 0.500
Ru1 Ru 0.000 0.000 0.500

# 2
# PBE Mn2OsRu2, optimized geometry
# E_form   307.5 meV/atom
# M_tot   0.0000 μB per atom
# Density of states at the Fermi level   4.8 states/eV/f.u.
data_Mn2OsRu2
_symmetry_space_group_name_H-M 'P 4/m b m'
_symmetry_Int_Tables_number 127
_symmetry_space_group_name_Hall '-P 4 2ab'
_cell_length_a 7.031
_cell_length_b 7.031
_cell_length_c 2.663
_cell_angle_alpha 90.00
_cell_angle_beta 90.00
_cell_angle_gamma 90.00
loop_
_atom_site_label
_atom_site_type_symbol
_atom_site_fract_x
_atom_site_fract_y
_atom_site_fract_z
Mn1 Mn 0.171 0.329 0.000
Os1 Os 0.000 0.000 0.500
Ru1 Ru 0.127 0.627 0.500

# 3
# PBE Mn2Os6Ru, optimized geometry
# E_form   294.1 meV/atom
# M_tot   0.3774 μB per atom
# Density of states at the Fermi level   7.7 states/eV/f.u.
data_Mn2Os6Ru
_symmetry_space_group_name_H-M 'C 1 2/c 1'
_symmetry_Int_Tables_number 15
_symmetry_space_group_name_Hall '-C 2yc'
_cell_length_a 11.390
_cell_length_b 7.181
_cell_length_c 8.373
_cell_angle_alpha 90.00
_cell_angle_beta 130.45
_cell_angle_gamma 90.00
loop_
_atom_site_label
_atom_site_type_symbol
_atom_site_fract_x
_atom_site_fract_y
_atom_site_fract_z
Mn1 Mn 0.195 0.096 0.003
Os1 Os 0.097 0.112 0.638
Os2 Os 0.133 0.282 0.287
Os3 Os 0.141 0.448 0.586
Ru1 Ru 0.000 0.370 0.750

# 4
# PBE Mn2Os5Ru2, optimized geometry
# E_form   253.8 meV/atom
# M_tot   0.0003 μB per atom
# Density of states at the Fermi level   9.0 states/eV/f.u.
data_Mn2Os5Ru2
_symmetry_space_group_name_H-M 'C 1 2/m 1'
_symmetry_Int_Tables_number 12
_symmetry_space_group_name_Hall '-C 2y'
_cell_length_a 7.338
_cell_length_b 4.235
_cell_length_c 7.999
_cell_angle_alpha 90.00
_cell_angle_beta 90.04
_cell_angle_gamma 90.00
loop_
_atom_site_label
_atom_site_type_symbol
_atom_site_fract_x
_atom_site_fract_y
_atom_site_fract_z
Mn1 Mn 0.167 0.000 0.002
Os1 Os 0.000 0.500 0.160
Os2 Os 0.000 0.500 0.500
Os3 Os 0.167 0.000 0.322
Ru1 Ru 0.166 0.000 0.673

# 5
# PBE MnOs2Ru, optimized geometry
# E_form   65.9 meV/atom
# M_tot   0.1815 μB per atom
# Density of states at the Fermi level   3.7 states/eV/f.u.
data_MnOs2Ru
_symmetry_space_group_name_H-M 'C 1 m 1'
_symmetry_Int_Tables_number 8
_symmetry_space_group_name_Hall 'C -2y'
_cell_length_a 4.676
_cell_length_b 2.703
_cell_length_c 8.694
_cell_angle_alpha 90.00
_cell_angle_beta 100.30
_cell_angle_gamma 90.00
loop_
_atom_site_label
_atom_site_type_symbol
_atom_site_fract_x
_atom_site_fract_y
_atom_site_fract_z
Mn1 Mn 0.000 0.000 0.000
Os1 Os 0.085 0.500 0.759
Os2 Os 0.414 0.000 0.245
Ru1 Ru 0.335 0.500 0.506

# 6
# PBE Mn2OsRu2, optimized geometry
# E_form   207.8 meV/atom
# M_tot   0.0000 μB per atom
# Density of states at the Fermi level   5.8 states/eV/f.u.
data_Mn2OsRu2
_symmetry_space_group_name_H-M 'P 4/m b m'
_symmetry_Int_Tables_number 127
_symmetry_space_group_name_Hall '-P 4 2ab'
_cell_length_a 6.935
_cell_length_b 6.935
_cell_length_c 2.695
_cell_angle_alpha 90.00
_cell_angle_beta 90.00
_cell_angle_gamma 90.00
loop_
_atom_site_label
_atom_site_type_symbol
_atom_site_fract_x
_atom_site_fract_y
_atom_site_fract_z
Mn1 Mn 0.120 0.380 0.000
Os1 Os 0.000 0.000 0.000
Ru1 Ru 0.176 0.676 0.500